# 1
Material: Ce2SmDySe5
Method: DFT, PBE-GGA
State: relaxed

M_tot (Bohr magnetons per cell): 3.45
Symmetry: No. 123

```
Ce2SmDySe5
1.0
5.137 0.000 0.000
0.000 5.137 0.000
0.000 0.000 10.909
Se Ce Sm Dy
5 2 1 1
Direct
0.000 0.000 0.753 Se
0.000 0.500 0.500 Se
0.000 0.000 0.247 Se
0.500 0.000 0.500 Se
0.500 0.500 0.000 Se
0.500 0.500 0.692 Ce
0.500 0.500 0.308 Ce
0.000 0.000 0.000 Sm
0.000 0.000 0.500 Dy
```

=====

# 2
Material: CeSm2DySe4
Method: DFT, PBE-GGA
State: relaxed

M_tot (Bohr magnetons per cell): 0.94
Symmetry: No. 10

```
CeSm2DySe4
1.0
4.128 0.000 0.000
0.000 7.232 0.154
0.000 -2.498 6.744
Se Sm Ce Dy
4 2 1 1
Direct
0.500 0.757 0.756 Se
0.000 0.755 0.248 Se
0.000 0.245 0.752 Se
0.500 0.243 0.244 Se
0.000 0.500 0.500 Sm
0.500 0.000 0.500 Sm
0.500 0.500 0.000 Ce
0.000 0.000 0.000 Dy
```

=====

# 3
Material: Ce3Sm4DySe8
Method: DFT, PBE-GGA
State: relaxed

M_tot (Bohr magnetons per cell): 2.77
Symmetry: No. 166

```
Ce3Sm4DySe8
1.0
8.343 0.000 0.000
0.000 8.343 -0.004
-4.171 -4.166 5.902
Se Sm Ce Dy
8 4 3 1
Direct
0.249 0.247 0.498 Se
0.247 0.748 0.002 Se
0.755 0.748 0.002 Se
0.753 0.252 0.998 Se
0.751 0.753 0.502 Se
0.753 0.252 0.506 Se
0.247 0.748 0.494 Se
0.245 0.252 0.998 Se
0.000 0.000 0.000 Sm
0.500 0.000 0.000 Sm
0.000 0.000 0.500 Sm
0.500 0.000 0.500 Sm
0.500 0.500 0.000 Ce
0.000 0.500 0.500 Ce
0.500 0.500 0.500 Ce
0.000 0.500 0.000 Dy
```

=====

no.,formation energy without anion corrections (eV/atom),final energy (eV per atom),calculated density (g/cm3)
1,-1.301,-5.5912,5.7
2,-1.805,-6.0436,7.5
3,-1.815,-6.1376,7.3